Record 1
A relaxed structure of AcPrDy2Y5, computed with PBE.

Geometry as POSCAR:
```
AcPrDy2Y5
1.0
-2.682 2.947 3.953
5.972 -8.510 6.412
7.443 5.781 0.741
Ac Pr Dy Y
2 2 4 10
Direct
0.602 0.204 0.929 Ac
0.398 0.796 0.429 Ac
0.763 0.526 0.535 Pr
0.237 0.474 0.035 Pr
0.887 0.775 0.790 Dy
0.168 0.335 0.674 Dy
0.113 0.225 0.290 Dy
0.832 0.665 0.174 Dy
0.398 0.795 0.032 Y
0.742 0.485 0.862 Y
0.475 0.950 0.749 Y
0.310 0.621 0.729 Y
0.007 0.013 0.524 Y
0.602 0.205 0.532 Y
0.258 0.515 0.362 Y
0.525 0.050 0.249 Y
0.690 0.379 0.229 Y
0.993 0.987 0.024 Y
```

Results
Energy ... -0.2000 Ha/atom
Magnetic moment ... 0.0000 μB/atom
ΔE_f ... 0.1584 eV/atom

=====

Record 2
A relaxed structure of AcPr2DyY6, computed with PBE.

Geometry as POSCAR:
```
AcPr2DyY6
1.0
-5.640 3.213 7.116
0.268 -8.698 4.139
6.090 2.046 3.905
Ac Pr Dy Y
2 4 2 12
Direct
0.000 0.500 0.000 Ac
0.500 0.000 0.500 Ac
0.827 0.826 0.249 Pr
0.673 0.326 0.251 Pr
0.327 0.674 0.749 Pr
0.173 0.174 0.751 Pr
0.000 0.500 0.500 Dy
0.500 0.000 0.000 Dy
0.674 0.327 0.750 Y
0.871 0.118 0.001 Y
0.882 0.129 0.501 Y
0.618 0.629 0.999 Y
0.629 0.618 0.499 Y
0.826 0.827 0.750 Y
0.174 0.173 0.250 Y
0.371 0.382 0.501 Y
0.382 0.371 0.001 Y
0.129 0.882 0.999 Y
0.118 0.871 0.499 Y
0.326 0.673 0.250 Y
```

Results
Energy ... -0.2061 Ha/atom
Magnetic moment ... 0.0000 μB/atom
ΔE_f ... 0.0974 eV/atom

=====

Record 3
A relaxed structure of AcPr3Dy2Y6, computed with PBE.

Geometry as POSCAR:
```
AcPr3Dy2Y6
1.0
-1.372 4.476 -4.223
-3.955 -1.147 4.773
7.431 6.862 6.423
Ac Pr Dy Y
1 3 2 6
Direct
0.000 0.000 0.000 Ac
0.167 0.833 0.500 Pr
0.833 0.167 0.500 Pr
0.500 0.500 0.500 Pr
0.333 0.667 0.000 Dy
0.667 0.333 0.000 Dy
0.916 0.580 0.750 Y
0.748 0.748 0.250 Y
0.084 0.420 0.250 Y
0.580 0.916 0.750 Y
0.252 0.252 0.750 Y
0.420 0.084 0.250 Y
```

Results
Energy ... -0.2027 Ha/atom
Magnetic moment ... 0.0000 μB/atom
ΔE_f ... 0.0212 eV/atom

=====

Record 4
A relaxed structure of AcPr2Dy3Y6, computed with PBE.

Geometry as POSCAR:
```
AcPr2Dy3Y6
1.0
-5.210 -3.521 -0.199
4.856 -1.356 -3.763
4.563 -5.424 9.594
Ac Pr Dy Y
1 2 3 6
Direct
0.000 0.000 0.000 Ac
0.333 0.667 0.000 Pr
0.667 0.333 0.000 Pr
0.167 0.833 0.500 Dy
0.833 0.167 0.500 Dy
0.500 0.500 0.500 Dy
0.914 0.579 0.744 Y
0.751 0.751 0.257 Y
0.086 0.421 0.256 Y
0.579 0.914 0.744 Y
0.249 0.249 0.743 Y
0.421 0.086 0.256 Y
```

Results
Energy ... -0.2019 Ha/atom
Magnetic moment ... 0.0000 μB/atom
ΔE_f ... 0.0284 eV/atom

=====

Record 5
A relaxed structure of AcPr2DyY2, computed with PBE.

Geometry as POSCAR:
```
AcPr2DyY2
1.0
5.801 0.000 0.000
0.000 7.290 0.000
0.000 0.000 10.011
Ac Pr Dy Y
2 4 2 4
Direct
0.000 0.007 0.500 Ac
0.000 0.507 0.500 Ac
0.000 0.258 0.839 Pr
0.500 0.257 0.325 Pr
0.000 0.758 0.161 Pr
0.500 0.757 0.675 Pr
0.500 0.257 0.671 Dy
0.500 0.757 0.329 Dy
0.500 0.008 0.000 Y
0.000 0.258 0.162 Y
0.500 0.508 0.000 Y
0.000 0.758 0.838 Y
```

Results
Energy ... -0.1888 Ha/atom
Magnetic moment ... 0.0000 μB/atom
ΔE_f ... 0.0624 eV/atom

=====

Record 6
A relaxed structure of AcPrDyY, computed with PBE.

Geometry as POSCAR:
```
AcPrDyY
1.0
-1.381 5.231 -2.343
-3.325 3.805 3.037
2.398 4.929 2.172
Pr Y Ac Dy
1 1 1 1
Direct
0.000 0.000 0.000 Pr
0.750 0.750 0.750 Y
0.500 0.500 0.500 Ac
0.250 0.250 0.250 Dy
```

Results
Energy ... -0.1796 Ha/atom
Magnetic moment ... 0.0003 μB/atom
ΔE_f ... 0.1022 eV/atom

=====

Record 7
A relaxed structure of AcPr2Dy5Y, computed with PBE.

Geometry as POSCAR:
```
AcPr2Dy5Y
1.0
-5.079 6.868 2.408
-5.656 -1.878 -6.576
1.310 -7.190 6.915
Ac Pr Dy Y
2 4 10 2
Direct
0.250 0.250 0.500 Ac
0.750 0.750 0.500 Ac
0.117 0.383 0.000 Pr
0.617 0.117 0.000 Pr
0.383 0.883 0.000 Pr
0.883 0.617 0.000 Pr
0.926 0.426 0.268 Dy
0.658 0.158 0.732 Dy
0.074 0.574 0.732 Dy
0.158 0.074 0.732 Dy
0.574 0.658 0.732 Dy
0.842 0.926 0.268 Dy
0.426 0.342 0.268 Dy
0.342 0.842 0.268 Dy
0.500 0.500 0.000 Dy
0.000 0.000 0.000 Dy
0.250 0.750 0.500 Y
0.750 0.250 0.500 Y
```

Results
Energy ... -0.1668 Ha/atom
Magnetic moment ... 0.0000 μB/atom
ΔE_f ... 0.2548 eV/atom

=====

Record 8
A relaxed structure of Ac2Pr5DyY, computed with PBE.

Geometry as POSCAR:
```
Ac2Pr5DyY
1.0
-1.089 5.557 -0.088
-4.055 -3.516 10.458
9.414 1.913 4.293
Ac Pr Dy Y
4 10 2 2
Direct
0.884 0.768 0.770 Ac
0.116 0.232 0.747 Ac
0.116 0.232 0.270 Ac
0.884 0.768 0.247 Ac
0.378 0.757 0.008 Pr
0.722 0.444 0.819 Pr
0.500 0.000 0.758 Pr
0.278 0.556 0.698 Pr
0.997 0.995 0.508 Pr
0.622 0.243 0.508 Pr
0.278 0.556 0.319 Pr
0.500 0.000 0.258 Pr
0.722 0.444 0.198 Pr
0.003 0.005 0.008 Pr
0.782 0.564 0.508 Dy
0.218 0.436 0.008 Dy
0.603 0.206 0.008 Y
0.397 0.794 0.508 Y
```

Results
Energy ... -0.1723 Ha/atom
Magnetic moment ... 0.0000 μB/atom
ΔE_f ... 0.1099 eV/atom

=====

Which formula does entry 3 have?
AcPr3Dy2Y6